Entry 1:
First-principles (GGA-PBE) data for a relaxed structure of ZrAgCl2, as listed in Alexandria.

Computed properties:
* SG: Pm
* volume: 25.90 Å³ per atom

abc: 3.3431 4.0129 7.9574
angles: 76.07 90.00 90.00
Last column: nearest neighbours and their distance in Å.
Sites, in units of the cell vectors:
Zr (0.0000, 0.2806, 0.5611)  3 Cl 2.56-2.57
Ag (0.5000, 0.6964, 0.7376)  4 Cl 2.87, 4 Zr 2.95
Cl (0.0000, 0.1225, 0.8927)  1 Zr 2.56
Cl (0.5000, 0.4005, 0.3086)  2 Zr 2.57

---

Entry 2:
First-principles (GGA-PBE) data for a relaxed structure of YInCl2, as listed in Alexandria.

Computed properties:
* SG: I-4m2
* volume: 24.46 Å³ per atom

abc: 6.4354 6.4354 6.4354
angles: 142.56 142.56 53.98
Last column: nearest neighbours and their distance in Å.
Sites, in units of the cell vectors:
Y (0.7500, 0.2500, 0.5000)  4 Cl 2.92
Cl (0.0000, 0.0000, 0.0000)  4 In 2.92
Cl (0.2500, 0.7500, 0.5000)  4 Y 2.92
In (0.5000, 0.5000, 0.0000)  4 Cl 2.92

---

For reference, excess energy over the best structure of this formula in the dataset by record: 0.38, 1.50 eV per formula unit.
For reference, energy relative to the elements, uncorrected by record: -827.8, -915.5 meV/atom.
For reference, raw total energy by record: -4.6010, -4.1395 eV per atom.